1.
Computed, not measured: an optimized crystal structure of In5Hg2Br5 at the PBE-GGA level of DFT.

a b c (Å): 10.7924 10.7924 8.2706
angles (deg): 90.00 90.00 90.00
Space group I4mm (No. 107)
Asymmetric unit:
In1 0.0000 0.0000 0.0000
In2 0.0000 0.2715 0.5830
Hg1 0.0000 0.5000 0.3261
Br1 0.0000 0.0000 0.4550
Br2 0.1942 0.1942 0.8304


2.
Computed, not measured: an optimized crystal structure of PuCd5Hg5 at the PBE-GGA level of DFT.

a b c (Å): 5.8331 6.7241 7.6245
angles (deg): 94.91 111.22 92.15
Space group P-1 (No. 2)
Asymmetric unit:
Pu1 0.0000 0.0000 0.0000
Cd1 0.2453 0.3712 0.3830
Cd2 0.4988 0.3246 0.8187
Cd3 0.5000 0.0000 0.5000
Hg1 0.0000 0.5000 0.0000
Hg2 0.0156 0.7880 0.3734
Hg3 0.3701 0.8048 0.7997

## Properties
For the formation energy from the elements, the calculation gives 0.05 eV/f.u. The value obtained for the density of states at the Fermi level is 17.5 states/eV per cell.


3.
Computed, not measured: an optimized crystal structure of InCoPb at the PBE-GGA level of DFT.

a b c (Å): 4.4261 4.4261 3.9713
angles (deg): 90.00 90.00 120.00
Space group P3m1 (No. 156)
Asymmetric unit:
In1 0.0000 0.0000 0.0000
Co1 0.6667 0.3333 0.8100
Pb1 0.3333 0.6667 0.5039

## Properties
The energy above the most stable polymorph in this dataset is 277 meV/atom. For the formation energy from the elements, the calculation gives 1.43 eV/f.u. The value obtained for the density of states at the Fermi level is 3.2 states/eV per cell.


4.
Computed, not measured: an optimized crystal structure of SrCd2RuO6 at the PBE-GGA level of DFT.

a b c (Å): 5.7354 5.8260 10.0779
angles (deg): 90.00 123.93 90.00
Space group P2_1/c (No. 14)
Asymmetric unit:
Sr1 0.0000 0.0000 0.0000
Cd1 0.2202 0.0298 0.7354
Ru1 0.5000 0.0000 0.5000
O1 0.1761 0.1016 0.2834
O2 0.2429 0.6403 0.0402
O3 0.4593 0.2175 0.0847

## Properties
The value obtained for the density of states at the Fermi level is 9.3 states/eV per cell.


Let's list energy in order: -2.39 -1.85 -4.04 -5.53 eV/atom.
Let's list spin magnetization in order: 0.00 6.03 1.17 1.99 μB/f.u..
Let's list density in order: 4.74 10.84 9.39 6.06 Mg/m³.